{"formula": "SmNpCu2O8", "functional": "PBE-GGA", "state": "relaxed", "spacegroup": "I-4m2 (119)", "raw_formation_energy_mev_per_atom": -1635, "total_magnetization_mub_per_fu": 0.1, "lattice": [[-5.670, 0.930, 1.453], [0.455, -4.909, -3.290], [3.206, -0.651, 4.942]], "species": ["O", "O", "O", "O", "O", "O", "O", "O", "Np", "Cu", "Cu", "Sm"], "frac_coords": [[0.955, 0.287, 0.332], [0.376, 0.045, 0.332], [0.492, 0.697, 0.795], [0.303, 0.508, 0.205], [0.903, 0.697, 0.205], [0.955, 0.624, 0.668], [0.713, 0.045, 0.668], [0.303, 0.097, 0.795], [0.250, 0.750, 0.500], [0.500, 0.500, 0.000], [0.750, 0.250, 0.500], [0.000, 0.000, 0.000]]}

{"formula": "BeZn2Ir", "functional": "PBE-GGA", "state": "relaxed", "spacegroup": "P2_1/m (11)", "e_form_mev_per_atom": -238.8, "total_magnetization_mub_per_fu": 0.0, "lattice": [[4.098, 0.000, 0.000], [0.000, 4.512, -1.457], [0.000, -2.413, 6.250]], "species": ["Zn", "Zn", "Zn", "Zn", "Ir", "Ir", "Be", "Be"], "frac_coords": [[0.250, 0.952, 0.799], [0.250, 0.645, 0.994], [0.750, 0.355, 0.006], [0.750, 0.048, 0.201], [0.250, 0.490, 0.319], [0.750, 0.510, 0.681], [0.750, 0.860, 0.508], [0.250, 0.140, 0.492]]}

{"formula": "TbTm2Tc9", "functional": "PBE-GGA", "state": "relaxed", "spacegroup": "R-3m (166)", "e_form_mev_per_atom": -84.9, "total_magnetization_mub_per_fu": 0.0, "lattice": [[-2.707, 0.154, -4.597], [-4.903, -2.089, -0.281], [-5.940, 7.038, 0.635]], "species": ["Tm", "Tm", "Tc", "Tc", "Tc", "Tc", "Tc", "Tc", "Tc", "Tc", "Tc", "Tb"], "frac_coords": [[0.856, 0.856, 0.431], [0.144, 0.144, 0.569], [0.589, 0.589, 0.748], [0.073, 0.589, 0.748], [0.500, 0.500, 0.500], [0.662, 0.662, 0.014], [0.927, 0.411, 0.252], [0.338, 0.338, 0.986], [0.589, 0.073, 0.748], [0.411, 0.927, 0.252], [0.411, 0.411, 0.252], [0.000, 0.000, 0.000]]}

{"formula": "Mg4CdBr", "functional": "PBE-GGA", "state": "relaxed", "spacegroup": "F-43m (216)", "raw_formation_energy_mev_per_atom": 12, "total_magnetization_mub_per_fu": 0.0, "lattice": [[-1.541, 1.770, 5.497], [2.075, 5.170, 2.167], [-3.700, 4.639, 0.718]], "species": ["Cd", "Mg", "Mg", "Mg", "Mg", "Br"], "frac_coords": [[0.000, 0.000, 0.000], [0.879, 0.374, 0.374], [0.374, 0.879, 0.374], [0.374, 0.374, 0.879], [0.374, 0.374, 0.374], [0.750, 0.750, 0.750]]}

{"formula": "Cd2GaHgO4", "functional": "PBE-GGA", "state": "relaxed", "spacegroup": "I-42m (121)", "raw_formation_energy_mev_per_atom": -1066, "total_magnetization_mub_per_fu": 0.0, "lattice": [[5.226, 0.215, 0.000], [-0.219, 5.226, 0.000], [-2.503, -2.721, 4.724]], "species": ["O", "O", "O", "O", "Ga", "Cd", "Cd", "Hg"], "frac_coords": [[0.176, 0.176, 0.762], [0.586, 0.586, 0.762], [0.824, 0.414, 0.238], [0.414, 0.824, 0.238], [0.500, 0.500, 0.000], [0.750, 0.250, 0.500], [0.250, 0.750, 0.500], [0.000, 0.000, 0.001]]}

{"formula": "TbAgSn", "functional": "PBE-GGA", "state": "relaxed", "spacegroup": "P6_3mc (186)", "e_form_mev_per_atom": -600.4, "total_magnetization_mub_per_fu": 0.0, "lattice": [[4.748, 0.000, 0.000], [-2.374, 4.112, 0.000], [0.000, 0.000, 7.428]], "species": ["Ag", "Ag", "Sn", "Sn", "Tb", "Tb"], "frac_coords": [[0.333, 0.667, 0.791], [0.667, 0.333, 0.291], [0.667, 0.333, 0.700], [0.333, 0.667, 0.200], [0.000, 0.000, 0.980], [0.000, 0.000, 0.480]]}

{"formula": "BeFe2Re", "functional": "PBE-GGA", "state": "relaxed", "spacegroup": "Pmmm (47)", "e_form_mev_per_atom": 40.7, "total_magnetization_mub_per_fu": 1.9, "lattice": [[-2.213, -0.050, -1.395], [-0.014, -3.479, 0.148], [-2.637, 0.188, 4.174]], "species": ["Fe", "Fe", "Re", "Be"], "frac_coords": [[0.000, 0.000, 0.523], [0.000, 0.000, 0.977], [0.500, 0.500, 0.250], [0.500, 0.500, 0.750]]}

{"formula": "TmReTc", "functional": "PBE-GGA", "state": "relaxed", "spacegroup": "Amm2 (38)", "e_form_mev_per_atom": -265.2, "total_magnetization_mub_per_fu": 0.0, "lattice": [[5.396, -0.063, 0.000], [-2.669, 4.690, 0.000], [0.000, 0.000, 8.713]], "species": ["Tm", "Tm", "Tm", "Tm", "Tc", "Tc", "Tc", "Tc", "Re", "Re", "Re", "Re"], "frac_coords": [[0.666, 0.334, 0.312], [0.333, 0.667, 0.812], [0.666, 0.334, 0.688], [0.333, 0.667, 0.188], [0.828, 0.172, 0.000], [0.344, 0.172, 0.000], [0.173, 0.827, 0.500], [0.828, 0.656, 0.000], [0.999, 0.001, 0.751], [0.659, 0.828, 0.500], [0.172, 0.341, 0.500], [0.999, 0.001, 0.249]]}

Q: Which formula does entry 5 have?
A: Cd2GaHgO4